This record from the Alexandria database describes an optimized crystal structure of YPaC. The functional is PBE-GGA. Values from VASP.

Results
Total DFT energy (no corrections) (eV/atom): -8.4022
ΔH_f (0 K) (eV per atom): -0.0075

Geometry as Quantum ESPRESSO input:
```
&SYSTEM
  ibrav = 0, nat = 6, ntyp = 3
/
ATOMIC_SPECIES
Pa 231.04 Pa.upf
C 12.01 C.upf
Y 88.91 Y.upf
CELL_PARAMETERS angstrom
-2.2887 2.3516 -0.5195
-2.4971 -4.3533 1.9187
0.9577 2.4210 6.7393
ATOMIC_POSITIONS angstrom
Pa -1.1443 1.1758 -0.2598
C -0.0249 0.3746 1.8052
Y -1.0372 0.2839 5.8542
Y -2.7909 0.1353 2.2843
Pa -0.6655 2.3863 3.1099
C -3.8032 0.0446 6.3332
```